{"formula": "LiLaPmGe", "functional": "PBE", "state": "optimized geometry", "formation_energy_ev_per_atom": -0.420, "m_tot_mub_per_fu": 0.00, "crystal_system": "cubic", "dos_ef_per_ev_cell": 3.0, "lattice": [[5.2421, 0.0000, 0.0000], [2.6211, 4.5398, 0.0000], [2.6211, 1.5133, 4.2802]], "species": ["Ge", "La", "Li", "Pm"], "fractional_positions": [[0.2500, 0.2500, 0.2500], [0.5000, 0.5000, 0.5000], [0.7500, 0.7500, 0.7500], [0.0000, 0.0000, 0.0000]]}


{"formula": "Si2NiAgGe", "functional": "PBE", "state": "optimized geometry", "total_energy_ev_per_atom": -3.944, "m_tot_mub_per_fu": 0.00, "crystal_system": "tetragonal", "dos_ef_per_ev_cell": 2.5, "lattice": [[-2.2512, 2.3017, -3.5459], [-3.8253, -1.5432, 1.4269], [-0.5013, 3.8436, 2.8132]], "species": ["Ni", "Ge", "Si", "Si", "Ag"], "fractional_positions": [[0.0000, 0.5000, 0.0000], [0.0000, 0.0000, 0.0000], [0.0000, 0.0000, 0.5000], [0.5000, 0.0000, 0.0000], [0.5000, 0.5000, 0.5000]]}


{"formula": "LaZr2Pb2", "functional": "PBE", "state": "optimized geometry", "formation_energy_ev_per_atom": -0.165, "e_above_lowest_polymorph_mev_per_atom": 107, "m_tot_mub_per_fu": 0.14, "crystal_system": "tetragonal", "dos_ef_per_ev_cell": 10.2, "lattice": [[-6.4222, 3.6534, 5.0356], [4.3207, -2.5881, 7.3880], [1.6600, 2.8703, 0.0347]], "species": ["Pb", "Pb", "Pb", "Pb", "Zr", "Zr", "Zr", "Zr", "La", "La"], "fractional_positions": [[0.1759, 0.6759, 0.5000], [0.6759, 0.8241, 0.5000], [0.8241, 0.3241, 0.5000], [0.3241, 0.1759, 0.5000], [0.3812, 0.8812, 0.0000], [0.8812, 0.6188, 0.0000], [0.6188, 0.1188, 0.0000], [0.1188, 0.3812, 0.0000], [0.0000, 0.0000, 0.0000], [0.5000, 0.5000, 0.0000]]}


{"formula": "MgBr", "functional": "PBE", "state": "optimized geometry", "total_energy_ev_per_atom": -2.590, "m_tot_mub_per_fu": 0.00, "crystal_system": "trigonal", "dos_ef_per_ev_cell": 0.9, "lattice": [[9.7911, -0.0041, -0.0024], [9.0619, 3.7078, -0.0024], [9.0619, 1.7803, 3.2525]], "species": ["Br", "Br", "Mg", "Mg"], "fractional_positions": [[0.9727, 0.9727, 0.9727], [0.7773, 0.7773, 0.7773], [0.4981, 0.4981, 0.4981], [0.2519, 0.2519, 0.2519]]}


What is the formula in the third record?
LaZr2Pb2